# BaRuPb3, optimized geometry, DFT PBEsol
# **Space-group type**: Pm-3m, No. 221
# **ΔH_f (0 K)**: 0.34 eV per formula unit
data_BaRuPb3
_chemical_formula_sum 'Ba1 Ru1 Pb3'
_cell_length_a 5.306
_cell_length_b 5.306
_cell_length_c 5.306
_cell_angle_alpha 90.00
_cell_angle_beta 90.00
_cell_angle_gamma 90.00
_space_group_name_H-M_alt 'P 1'
_space_group_IT_number 1
_space_group_name_Hall 'P 1'
loop_
_atom_site_label
_atom_site_fract_x
_atom_site_fract_y
_atom_site_fract_z
Ru1 0.000 0.000 0.000
Pb1 0.500 0.000 0.000
Ba1 0.500 0.500 0.500
Pb2 0.000 0.500 0.000
Pb3 0.000 0.000 0.500



# Ba3PbS, optimized geometry, DFT PBEsol
# **Space-group type**: Pm-3m, No. 221
# **Electronic total energy**: -0.118 Ha/atom
data_Ba3PbS
_chemical_formula_sum 'Ba3 Pb1 S1'
_cell_length_a 6.481
_cell_length_b 6.481
_cell_length_c 6.481
_cell_angle_alpha 90.00
_cell_angle_beta 90.00
_cell_angle_gamma 90.00
_space_group_name_H-M_alt 'P 1'
_space_group_IT_number 1
_space_group_name_Hall 'P 1'
loop_
_atom_site_label
_atom_site_fract_x
_atom_site_fract_y
_atom_site_fract_z
Ba1 0.000 0.000 0.500
Pb1 0.000 0.000 0.000
Ba2 0.500 0.000 0.000
Ba3 0.000 0.500 0.000
S1 0.500 0.500 0.500



# BaSbPb, optimized geometry, DFT PBEsol
# **Space-group type**: F-43m, No. 216
# **Offset from the most stable computed form**: 168 kJ/mol of formula units
data_BaSbPb
_chemical_formula_sum 'Ba1 Sb1 Pb1'
_cell_length_a 5.510
_cell_length_b 5.510
_cell_length_c 5.510
_cell_angle_alpha 60.00
_cell_angle_beta 60.00
_cell_angle_gamma 60.00
_space_group_name_H-M_alt 'P 1'
_space_group_IT_number 1
_space_group_name_Hall 'P 1'
loop_
_atom_site_label
_atom_site_fract_x
_atom_site_fract_y
_atom_site_fract_z
Ba1 0.250 0.250 0.250
Sb1 0.500 0.500 0.500
Pb1 0.000 0.000 0.000



# Ba2Sb2Pb, optimized geometry, DFT PBEsol
# **Space-group type**: P4/mbm, No. 127
# **Electronic total energy**: -0.157 Ha/atom
data_Ba2Sb2Pb
_chemical_formula_sum 'Ba4 Sb4 Pb2'
_cell_length_a 5.032
_cell_length_b 8.393
_cell_length_c 8.393
_cell_angle_alpha 90.00
_cell_angle_beta 90.00
_cell_angle_gamma 90.00
_space_group_name_H-M_alt 'P 1'
_space_group_IT_number 1
_space_group_name_Hall 'P 1'
loop_
_atom_site_label
_atom_site_fract_x
_atom_site_fract_y
_atom_site_fract_z
Sb1 0.000 0.622 0.122
Ba1 0.500 0.822 0.322
Pb1 0.000 0.000 0.000
Sb2 0.000 0.878 0.622
Ba2 0.500 0.678 0.822
Ba3 0.500 0.322 0.178
Sb3 0.000 0.122 0.378
Sb4 0.000 0.378 0.878
Ba4 0.500 0.178 0.678
Pb2 0.000 0.500 0.500